A plane-wave DFT calculation with PBE was carried out for a relaxed structure of Th3AsP2Ir9.

Cell lengths 5.7368, 5.7368, 10.1726 Å; angles 90.00, 90.00, 120.00 degrees
Space group P-3m1 (No. 164)
Symmetry-distinct sites (fractional):
1 Th 0.0000 0.0000 0.0000 x1
2 Th 0.3333 0.6667 0.5930 x2
3 As 0.0000 0.0000 0.5000 x1
4 P 0.3333 0.6667 0.1599 x2
5 Ir 0.0000 0.5000 0.0000 x3
6 Ir 0.1633 0.3265 0.3117 x6

**Final energy**: -8.368 eV/atom
**D(E_F)**: 5.861 states/eV per cell

A plane-wave DFT calculation with PBE was carried out for a relaxed structure of Cd2Mo2Rh.

Cell lengths 6.434, 6.434, 4.691 Å; angles 90.00, 90.00, 90.00 degrees
Space group P4/mbm (No. 127)
Symmetry-distinct sites (fractional):
1 Cd 0.176 0.324 0.000 x4
2 Mo 0.127 0.627 0.500 x4
3 Rh 0.000 0.000 0.500 x2

**Energy above the lowest structure with this stoichiometry**: 0 meV/atom
**Final energy**: -5.564 eV/atom
**D(E_F)**: 12.186 states/eV per cell